No. 1
DFT (PBE-GGA) results for a geometry-optimized GePb2I structure.

a = 8.1113 Å, b = 8.1113 Å, c = 9.1423 Å
α = 90.00°, β = 90.00°, γ = 90.00°
With the nearest neighbours (Å) after each atom.
Fractional positions:
Ge  0.0000  0.0000  0.0000  4 Pb 2.81
Ge  0.0000  0.5000  0.2500  4 Pb 2.81
Ge  0.5000  0.0000  0.7500  4 Pb 2.81
Ge  0.5000  0.5000  0.5000  4 Pb 2.81
Pb  0.1949  0.2500  0.1250  2 Ge 2.81
Pb  0.2500  0.6949  0.3750  2 Ge 2.81
Pb  0.2500  0.8051  0.8750  2 Ge 2.81
Pb  0.3051  0.2500  0.6250  2 Ge 2.81
Pb  0.6949  0.7500  0.6250  2 Ge 2.81
Pb  0.7500  0.1949  0.8750  2 Ge 2.81
Pb  0.7500  0.3051  0.3750  2 Ge 2.81
Pb  0.8051  0.7500  0.1250  2 Ge 2.81
I  0.0000  0.0000  0.5000  4 Pb 3.40
I  0.0000  0.5000  0.7500  4 Pb 3.40
I  0.5000  0.0000  0.2500  4 Pb 3.40
I  0.5000  0.5000  0.0000  4 Pb 3.40

ΔE_f (raw) in eV/atom: 0.181
Energy relative to the lowest polymorph listed for this composition in eV/atom: 0.000
Space-group type: No. 122

---

No. 2
DFT (PBE-GGA) results for a geometry-optimized KTa2CrB structure.

a = 4.3746 Å, b = 4.3746 Å, c = 5.3783 Å
α = 90.00°, β = 90.00°, γ = 90.00°
With the nearest neighbours (Å) after each atom.
Fractional positions:
K  0.0000  0.0000  0.0000  2 B 2.69
Ta  0.0000  0.5000  0.5000  2 B 2.19
Ta  0.5000  0.0000  0.5000  2 B 2.19
Cr  0.5000  0.5000  0.0000  4 K 3.09
B  0.0000  0.0000  0.5000  4 Ta 2.19

Energy relative to the elements in eV per atom: 1.20
Space-group type: No. 123

---

Taking the records one at a time from the top gives raw total energy values of -51.448; -35.092 eV per cell.